Compound: MnCoW
Source: the Alexandria database
Functional: GGA-PBE
Structure: relaxed

## Properties
Crystal system: monoclinic
Energy of formation from the pure elements: 0.07 eV/atom
Space group: No. 8
Calculated total energy: -9.6739 eV per atom
Relative energy among the computed polymorphs: 89 meV/atom

Lattice parameters (Å, degrees): 4.5053 4.5053 5.1822 106.06 106.06 48.31
Atoms (fractional coordinates):
1 Mn 0.0000 0.0000 0.0000
2 Mn 0.6737 0.6737 0.8386
3 Co 0.3440 0.3440 0.6697
4 Co 0.6732 0.6732 0.3384
5 W 0.0189 0.0189 0.5212
6 W 0.3257 0.3257 0.1528